# MnBe2Nb2Ru5 PBE-GGA optimized geometry
data_MnBe2Nb2Ru5
_space_group_name_H-M_alt 'P 1'
_space_group_IT_number 1
_cell_length_a 9.286
_cell_length_b 9.286
_cell_length_c 3.095
_cell_angle_alpha 90.00
_cell_angle_beta 90.00
_cell_angle_gamma 90.00
loop_
_space_group_symop_operation_xyz
'x,y,z'
loop_
_atom_site_label
_atom_site_fract_x
_atom_site_fract_y
_atom_site_fract_z
Mn1 0.000 0.000 0.000
Mn2 0.500 0.500 0.000
Be1 0.123 0.377 0.000
Be2 0.377 0.877 0.000
Be3 0.623 0.123 0.000
Be4 0.877 0.623 0.000
Nb1 0.175 0.675 0.000
Nb2 0.325 0.175 0.000
Nb3 0.675 0.825 0.000
Nb4 0.825 0.325 0.000
Ru1 0.000 0.500 0.500
Ru2 0.072 0.206 0.500
Ru3 0.206 0.928 0.500
Ru4 0.294 0.428 0.500
Ru5 0.428 0.706 0.500
Ru6 0.500 0.000 0.500
Ru7 0.572 0.294 0.500
Ru8 0.706 0.572 0.500
Ru9 0.794 0.072 0.500
Ru10 0.928 0.794 0.500
# **D(E_F)**: 6.26 states/eV/f.u.
# **Calculated formation energy**: -2.765 eV per formula unit